The following is a DFT calculation (GGA-PBE) of an optimized crystal structure of FeNi2HW.

Structure (extended XYZ):
```
5
Lattice="3.5740 0.0000 0.0000 0.0000 3.5740 0.0000 0.0000 0.0000 3.8769" Properties=species:S:1:pos:R:3 pbc="T T T"
Ni 0.0000 1.7870 0.0000
Ni 1.7870 0.0000 0.0000
Fe 0.0000 0.0000 1.9385
H 0.0000 0.0000 0.0000
W 1.7870 1.7870 1.9385
```

Values from the calculation:
The energy relative to the lowest polymorph listed for this composition is 0.0 kJ/mol of atoms.

The following is a DFT calculation (GGA-PBE) of an optimized crystal structure of Cr2FePtC.

Structure (extended XYZ):
```
5
Lattice="3.9007 0.0000 0.0000 0.0000 3.9007 0.0000 0.0000 0.0000 3.8169" Properties=species:S:1:pos:R:3 pbc="T T T"
Cr 1.9504 0.0000 0.0000
Fe 0.0000 0.0000 1.9085
C 0.0000 0.0000 0.0000
Pt 1.9504 1.9504 1.9085
Cr 0.0000 1.9504 0.0000
```

Values from the calculation:
The calculated formation energy comes out at -0.038 eV per atom.

The following is a DFT calculation (GGA-PBE) of an optimized crystal structure of K2SbP.

Structure (extended XYZ):
```
4
Lattice="3.7981 0.0000 0.0000 0.0000 3.7981 0.0000 0.0000 0.0000 10.0688" Properties=species:S:1:pos:R:3 pbc="T T T"
P 0.0000 0.0000 5.8343
K 1.8990 1.8990 3.4111
Sb 1.8990 1.8990 6.7126
K 0.0000 0.0000 9.2140
```

Values from the calculation:
The energy relative to the lowest polymorph listed for this composition is 22.8 kJ/mol of atoms.

The following is a DFT calculation (GGA-PBE) of an optimized crystal structure of LiAlCuSi.

Structure (extended XYZ):
```
4
Lattice="4.2791 0.0000 0.0000 2.1395 3.7058 0.0000 2.1395 1.2353 3.4938" Properties=species:S:1:pos:R:3 pbc="T T T"
Cu 6.4186 3.7058 2.6204
Li 4.2791 2.4705 1.7469
Al 0.0000 0.0000 0.0000
Si 2.1395 1.2353 0.8735
```

Values from the calculation:
Its total energy is -3.832 eV per atom.

The following is a DFT calculation (GGA-PBE) of an optimized crystal structure of LiCeDy2.

Structure (extended XYZ):
```
4
Lattice="-1.9581 -2.1360 -1.8099 -2.4959 -1.7508 1.5419 -9.1095 7.5968 -2.3347" Properties=species:S:1:pos:R:3 pbc="T T T"
Dy -6.4970 -1.5041 -0.8696
Ce -6.7817 1.8550 -1.3013
Li 0.0000 0.0000 0.0000
Dy -7.0664 5.2141 -1.7331
```

Values from the calculation:
The energy relative to the lowest polymorph listed for this composition is 8.5 kJ/mol of atoms. The calculated formation energy comes out at 0.194 eV per atom.

The following is a DFT calculation (GGA-PBE) of an optimized crystal structure of LiCo2Mo.

Structure (extended XYZ):
```
4
Lattice="2.5712 0.0607 0.0000 -0.0914 2.5703 0.0000 0.0000 0.0000 7.9304" Properties=species:S:1:pos:R:3 pbc="T T T"
Co 0.0000 0.0000 0.2106
Mo 1.2399 1.3155 6.1519
Li 0.0000 0.0000 3.7532
Co 1.2399 1.3155 1.7798
```

Values from the calculation:
The energy relative to the lowest polymorph listed for this composition is 9.4 kJ/mol of atoms. The calculated formation energy comes out at 0.242 eV per atom.

The following is a DFT calculation (GGA-PBE) of an optimized crystal structure of ScAl2Tc.

Structure (extended XYZ):
```
4
Lattice="3.5843 0.0000 0.0000 0.0000 4.1967 0.0000 0.0000 0.0000 4.3197" Properties=species:S:1:pos:R:3 pbc="T T T"
Al 0.0000 0.0000 0.0000
Tc 0.0000 2.0983 2.1599
Al 1.7921 2.0983 0.0000
Sc 1.7921 0.0000 2.1599
```

Values from the calculation:
The energy relative to the lowest polymorph listed for this composition is 4.9 kJ/mol of atoms. The calculated formation energy comes out at -0.364 eV per atom.

The following is a DFT calculation (GGA-PBE) of an optimized crystal structure of MnVH2.

Structure (extended XYZ):
```
8
Lattice="-1.1646 -0.5436 -3.6948 -0.7771 -3.7503 0.7967 -4.7315 -1.1471 -0.4109" Properties=species:S:1:pos:R:3 pbc="T T T"
H -4.2594 -2.3867 -1.4128
H -5.2650 -4.7015 -2.8262
H -1.7881 -2.6865 0.0160
V -3.2398 -3.5222 -0.5316
H -2.0339 -1.1075 -2.3951
V -0.9708 -2.1470 -1.4491
Mn -3.4335 -1.9189 -2.7774
Mn 0.0000 0.0000 0.0000
```

Values from the calculation:
The energy relative to the lowest polymorph listed for this composition is 10.4 kJ/mol of atoms.

The following is a DFT calculation (GGA-PBE) of an optimized crystal structure of AcPr4Sm10.

Structure (extended XYZ):
```
15
Lattice="6.2892 0.0000 2.8399 3.1446 9.1340 1.4199 -0.6144 0.0000 9.7446" Properties=species:S:1:pos:R:3 pbc="T T T"
Pr 5.3617 8.0962 4.8939
Pr 2.7175 2.2538 2.3658
Sm 2.5598 7.6316 6.9076
Sm 3.1154 1.5025 5.6771
Sm 5.9821 4.5670 7.7122
Sm 6.2596 1.5025 7.0969
Sm 4.7211 3.8920 10.5053
Pr 3.4578 1.0379 9.1105
Sm 2.8374 4.5670 6.2923
Sm 7.2434 5.2420 4.9193
Sm 1.5761 3.8920 9.0852
Pr 6.1020 6.8803 11.6386
Sm 5.7040 7.6316 8.3273
Sm 4.0984 5.2420 3.4991
Ac 0.0000 0.0000 0.0000
```

Values from the calculation:
The calculated formation energy comes out at 0.481 eV per atom.

The following is a DFT calculation (GGA-PBE) of an optimized crystal structure of BeIn2O.

Structure (extended XYZ):
```
8
Lattice="5.7578 0.0000 0.0000 0.0000 5.7578 0.0000 2.8789 2.8789 4.8299" Properties=species:S:1:pos:R:3 pbc="T T T"
Be 2.8789 5.7578 2.4150
In 4.3184 4.1384 3.6224
In 7.1973 7.3772 3.6224
In 1.2595 4.3184 1.2075
In 4.4983 1.4395 1.2075
O 0.0000 0.0000 0.0000
Be 2.8789 2.8789 0.0000
O 5.7578 2.8789 2.4150
```

Values from the calculation:
The energy relative to the lowest polymorph listed for this composition is 0.0 kJ/mol of atoms.

The following is a DFT calculation (GGA-PBE) of an optimized crystal structure of Zn2NiRu.

Structure (extended XYZ):
```
4
Lattice="-0.1123 0.7086 4.8477 4.2955 -1.5427 -2.0184 1.3951 2.1701 -0.0179" Properties=species:S:1:pos:R:3 pbc="T T T"
Zn 0.6414 1.4394 2.4149
Ni 2.8453 0.3137 -1.0181
Ru 2.0916 -0.4170 1.4146
Zn 0.0000 0.0000 0.0000
```

Values from the calculation:
The calculated formation energy comes out at 0.015 eV per atom.

The following is a DFT calculation (GGA-PBE) of an optimized crystal structure of KSrZr2.

Structure (extended XYZ):
```
4
Lattice="-2.2898 -3.2019 4.7926 2.1061 -3.7198 -1.4790 3.6380 1.0814 2.4607" Properties=species:S:1:pos:R:3 pbc="T T T"
K -0.0919 -3.4609 1.6568
Zr 0.0000 0.0000 0.0000
Zr 2.8720 -1.3192 0.4909
Sr 0.6741 -1.0603 3.6266
```

Values from the calculation:
The energy relative to the lowest polymorph listed for this composition is 51.2 kJ/mol of atoms. The calculated formation energy comes out at 0.937 eV per atom.